(1)
CuTe2C after structural relaxation. Source: Alexandria via LeMat-Bulk, functional PBE.

a = 4.2271 Å, b = 4.2271 Å, c = 19.8585 Å
α = 90.00°, β = 90.00°, γ = 120.00°
Last column: nearest neighbours and their distance in Å.
Positions (direct):
Cu (0.0000, 0.0000, 0.0000)  6 Te 2.79
Cu (0.3333, 0.6667, 0.6667)  6 Te 2.79
Cu (0.6667, 0.3333, 0.3333)  6 Te 2.79
Te (0.0000, 0.0000, 0.4015)  1 C 1.96
Te (0.0000, 0.0000, 0.5985)  1 C 1.96
Te (0.3333, 0.6667, 0.0682)  1 C 1.96
Te (0.3333, 0.6667, 0.2652)  1 C 1.96
Te (0.6667, 0.3333, 0.7348)  1 C 1.96
Te (0.6667, 0.3333, 0.9318)  1 C 1.96
C (0.0000, 0.0000, 0.5000)  2 Te 1.96
C (0.3333, 0.6667, 0.1667)  2 Te 1.96
C (0.6667, 0.3333, 0.8333)  2 Te 1.96

Results
space group: No. 166
calculated total energy: -0.28693 Ry/atom

=====

(2)
CuTe3C after structural relaxation. Source: Alexandria via LeMat-Bulk, functional PBE.

a = 5.1050 Å, b = 5.1050 Å, c = 5.1050 Å
α = 90.00°, β = 90.00°, γ = 90.00°
Last column: nearest neighbours and their distance in Å.
Positions (direct):
Cu (0.0000, 0.0000, 0.0000)  6 Te 2.55
Te (0.0000, 0.0000, 0.5000)  2 Cu 2.55
Te (0.0000, 0.5000, 0.0000)  2 Cu 2.55
Te (0.5000, 0.0000, 0.0000)  2 Cu 2.55
C (0.5000, 0.5000, 0.5000)  12 Te 3.61

Results
E above lowest polymorph: 545 meV/atom
space group: No. 221

=====

(3)
CuTe3C after structural relaxation. Source: Alexandria via LeMat-Bulk, functional PBE.

a = 4.7634 Å, b = 4.7634 Å, c = 4.7634 Å
α = 90.00°, β = 90.00°, γ = 90.00°
Last column: nearest neighbours and their distance in Å.
Positions (direct):
Cu (0.0000, 0.0000, 0.0000)  12 Te 3.37
Te (0.0000, 0.5000, 0.5000)  2 C 2.38
Te (0.5000, 0.0000, 0.5000)  2 C 2.38
Te (0.5000, 0.5000, 0.0000)  2 C 2.38
C (0.5000, 0.5000, 0.5000)  6 Te 2.38

Results
E above lowest polymorph: 0 meV/atom
space group: No. 221

=====

(4)
CuTe2C after structural relaxation. Source: Alexandria via LeMat-Bulk, functional PBE.

a = 5.5929 Å, b = 5.5929 Å, c = 11.3742 Å
α = 90.00°, β = 90.00°, γ = 90.00°
Last column: nearest neighbours and their distance in Å.
Positions (direct):
Cu (0.0000, 0.0000, 0.0000)  4 Te 2.56
Cu (0.0000, 0.5000, 0.2500)  4 Te 2.56
Cu (0.5000, 0.0000, 0.7500)  4 Te 2.56
Cu (0.5000, 0.5000, 0.5000)  4 Te 2.56
Te (0.2126, 0.2500, 0.6250)  2 C 2.32, 2 Cu 2.56
Te (0.2500, 0.7126, 0.8750)  2 C 2.32, 2 Cu 2.56
Te (0.2500, 0.7874, 0.3750)  2 C 2.32, 2 Cu 2.56
Te (0.2874, 0.2500, 0.1250)  2 C 2.32, 2 Cu 2.56
Te (0.7126, 0.7500, 0.1250)  2 C 2.32, 2 Cu 2.56
Te (0.7500, 0.2126, 0.3750)  2 C 2.32, 2 Cu 2.56
Te (0.7500, 0.2874, 0.8750)  2 C 2.32, 2 Cu 2.56
Te (0.7874, 0.7500, 0.6250)  2 C 2.32, 2 Cu 2.56
C (0.0000, 0.0000, 0.5000)  4 Te 2.32
C (0.0000, 0.5000, 0.7500)  4 Te 2.32
C (0.5000, 0.0000, 0.2500)  4 Te 2.32
C (0.5000, 0.5000, 0.0000)  4 Te 2.32

Results
space group: No. 122
calculated total energy: -0.29834 Ry/atom

=====

(5)
CuTeC3 after structural relaxation. Source: Alexandria via LeMat-Bulk, functional PBE.

a = 4.1532 Å, b = 4.1532 Å, c = 4.1532 Å
α = 90.00°, β = 90.00°, γ = 90.00°
Last column: nearest neighbours and their distance in Å.
Positions (direct):
Cu (0.0000, 0.0000, 0.0000)  12 C 2.94
Te (0.5000, 0.5000, 0.5000)  6 C 2.08
C (0.0000, 0.5000, 0.5000)  2 Te 2.08
C (0.5000, 0.0000, 0.5000)  2 Te 2.08
C (0.5000, 0.5000, 0.0000)  2 Te 2.08

Results
E above lowest polymorph: 441 meV/atom
space group: No. 221

=====

(6)
Ti2CuTeC after structural relaxation. Source: Alexandria via LeMat-Bulk, functional PBE.

a = 4.6882 Å, b = 4.6882 Å, c = 4.6497 Å
α = 90.00°, β = 90.00°, γ = 90.00°
Last column: nearest neighbours and their distance in Å.
Positions (direct):
Ti (0.0000, 0.5000, 0.0000)  2 Cu 2.34
Ti (0.5000, 0.0000, 0.0000)  2 Cu 2.34
Cu (0.0000, 0.0000, 0.0000)  2 Te 2.32, 4 Ti 2.34
Te (0.0000, 0.0000, 0.5000)  2 Cu 2.32
C (0.5000, 0.5000, 0.5000)  8 Ti 3.30, 4 Te 3.32

Results
space group: No. 123
calculated total energy: -0.34374 Ry/atom

=====

(7)
TlCu2TeC after structural relaxation. Source: Alexandria via LeMat-Bulk, functional PBE.

a = 4.7890 Å, b = 4.7890 Å, c = 7.0596 Å
α = 90.00°, β = 90.00°, γ = 90.00°
Last column: nearest neighbours and their distance in Å.
Positions (direct):
Tl (0.0000, 0.0000, 0.0000)  4 C 3.39, 2 Te 3.53
Cu (0.0000, 0.5000, 0.5000)  2 Te 2.39
Cu (0.5000, 0.0000, 0.5000)  2 Te 2.39
Te (0.0000, 0.0000, 0.5000)  4 Cu 2.39
C (0.5000, 0.5000, 0.0000)  4 Tl 3.39

Results
space group: No. 123
calculated total energy: -0.21919 Ry/atom

=====

(8)
Th2CuC after structural relaxation. Source: Alexandria via LeMat-Bulk, functional PBE.

a = 3.6789 Å, b = 18.0454 Å, c = 5.1476 Å
α = 90.00°, β = 90.00°, γ = 90.00°
Last column: nearest neighbours and their distance in Å.
Positions (direct):
Th (0.0000, 0.0928, 0.2500)  2 C 2.51
Th (0.0000, 0.2949, 0.2500)  4 C 2.59-2.67
Th (0.0000, 0.7051, 0.7500)  4 C 2.59-2.67
Th (0.0000, 0.9072, 0.7500)  2 C 2.51
Th (0.5000, 0.2051, 0.7500)  4 C 2.59-2.67
Th (0.5000, 0.4072, 0.7500)  2 C 2.51
Th (0.5000, 0.5928, 0.2500)  2 C 2.51
Th (0.5000, 0.7949, 0.2500)  4 C 2.59-2.67
Cu (0.0000, 0.4620, 0.2500)  2 Cu 2.92, 3 Th 2.99-3.02
Cu (0.0000, 0.5380, 0.7500)  2 Cu 2.92, 3 Th 2.99-3.02
Cu (0.5000, 0.0380, 0.7500)  2 Cu 2.92, 3 Th 2.99-3.02
Cu (0.5000, 0.9620, 0.2500)  2 Cu 2.92, 3 Th 2.99-3.02
C (0.0000, 0.3124, 0.7500)  6 Th 2.51-2.67
C (0.0000, 0.6876, 0.2500)  6 Th 2.51-2.67
C (0.5000, 0.1876, 0.2500)  6 Th 2.51-2.67
C (0.5000, 0.8124, 0.7500)  6 Th 2.51-2.67

Results
E above lowest polymorph: 21 meV/atom
space group: No. 63